--- w ---
A plane-wave DFT calculation with PBE was carried out for crystalline Ag2HgGeTe2Se2 at its relaxed geometry.

Cell: 13.8278 6.2575 6.2469 Å, 90.00 115.90 90.00°
Space group C2 (No. 5)
Unique sites:
1 Ag 0.2494 0.0000 0.2747 x4
2 Hg 0.0000 0.4987 0.0000 x2
3 Ge 0.0000 0.9744 0.5000 x2
4 Te 0.1289 0.2221 0.8562 x4
5 Se 0.1185 0.7622 0.3876 x4

Properties
Its theoretical density is 6.161 g cm⁻³.


--- x ---
A plane-wave DFT calculation with PBE was carried out for crystalline Ag2HgGeTe2Se2 at its relaxed geometry.

Cell: 8.8174 8.9651 12.3033 Å, 90.00 90.00 90.00°
Space group Fmm2 (No. 42)
Unique sites:
1 Ag 0.2500 0.2500 0.0000 x8
2 Hg 0.0000 0.0000 0.2611 x4
3 Ge 0.0000 0.0000 0.7710 x4
4 Te 0.0000 0.2308 0.6373 x8
5 Se 0.2265 0.0000 0.8850 x8

Properties
Its theoretical density is 6.161 g cm⁻³.


Tell me which of them is the most stable. Sure, it is w.